Entry 1:
A geometry-optimized HfGeNF2 structure. Source: Alexandria via LeMat-Bulk, functional PBE.

abc: 4.1371 4.1371 4.0539
angles: 90.00 90.00 90.00
With the nearest neighbours (Å) after each atom.
Positions (direct):
Hf  0.0000  0.0000  0.0000  8 F 2.90, 4 N 2.93
Ge  0.5000  0.5000  0.5000  2 N 2.03, 4 F 2.07
N  0.5000  0.5000  0.0000  2 Ge 2.03
F  0.0000  0.5000  0.5000  2 Ge 2.07
F  0.5000  0.0000  0.5000  2 Ge 2.07

Formation energy without anion corrections (eV per atom): -0.361
Calculated volume (A^3/atom): 13.88
Space-group type: P4/mmm (123)
Energy (eV/atom): -5.6884
Offset from the most stable computed form (eV per formula unit): 5.87



Entry 2:
A geometry-optimized HfGeNF2 structure. Source: Alexandria via LeMat-Bulk, functional PBE.

abc: 4.1754 4.1754 4.2342
angles: 90.00 90.00 90.00
With the nearest neighbours (Å) after each atom.
Positions (direct):
Hf  0.0000  0.0000  0.0000  4 F 2.09, 2 N 2.12
Ge  0.5000  0.5000  0.5000  4 N 2.95, 8 F 2.97
N  0.0000  0.0000  0.5000  2 Hf 2.12
F  0.0000  0.5000  0.0000  2 Hf 2.09
F  0.5000  0.0000  0.0000  2 Hf 2.09

Formation energy without anion corrections (eV per atom): -1.535
Calculated volume (A^3/atom): 14.76
Space-group type: P4/mmm (123)
Energy (eV/atom): -6.8624
Offset from the most stable computed form (eV per formula unit): 0.00